VASP calculation (PBE) on crystalline Tm2PdPt at its relaxed geometry.

a b c (Å): 6.9136 6.9136 6.9136
angles (deg): 34.03 34.03 34.03
Atoms (fractional coordinates):
Tm: 0.2476 0.2476 0.2476
Tm: 0.7524 0.7524 0.7524
Pd: 0.0000 0.0000 0.0000
Pt: 0.5000 0.5000 0.5000

Results
* energy relative to the lowest polymorph listed for this composition: 164 meV/atom
* energy of formation: -0.9693 eV per atom
* symmetry: R-3m, No. 166

---

VASP calculation (PBE) on crystalline Sb4As2Ir at its relaxed geometry.

a b c (Å): 7.7731 7.7731 7.7731
angles (deg): 140.43 140.43 57.20
Atoms (fractional coordinates):
Sb: 0.0000 0.5000 0.5000
Sb: 0.2010 0.2010 0.0000
Sb: 0.5000 0.0000 0.5000
Sb: 0.7990 0.7990 0.0000
As: 0.4011 0.4011 0.0000
As: 0.5989 0.5989 0.0000
Ir: 0.0000 0.0000 0.0000

Results
* E_form (uncorrected): 362 meV per atom
* symmetry: I4/mmm, No. 139